[1]
Entry from OQMD via LeMat-Bulk: a relaxed structure of TmBAs (PBE).

calculated volume = 216.8 Å³/cell
energy above the lowest structure with this stoichiometry = 0 meV per atom

Lattice parameters (Å, degrees): 6.007 6.007 6.007 90.00 90.00 90.00
Space group F-43m (No. 216)
Asymmetric unit:
Tm 0.000 0.000 0.000
B 0.250 0.250 0.750
As 0.000 0.000 0.500

=====

[2]
Entry from OQMD via LeMat-Bulk: a relaxed structure of LuCuAu2 (PBE).

calculated volume = 293.0 Å³/cell
formation enthalpy at 0 K = -494.8 meV/atom

Lattice parameters (Å, degrees): 6.642 6.642 6.642 90.00 90.00 90.00
Space group F-43m (No. 216)
Asymmetric unit:
Lu 0.000 0.000 0.000
Cu 0.250 0.250 0.250
Au 0.000 0.000 0.500
Au 0.250 0.250 0.750

=====

[3]
Entry from OQMD via LeMat-Bulk: a relaxed structure of Ho3Lu3FeTe2 (PBE).

calculated volume = 228.6 Å³/cell
energy above the lowest structure with this stoichiometry = 62 meV per atom

Lattice parameters (Å, degrees): 8.2083 8.2083 3.9178 90.00 90.00 120.00
Space group P-62m (No. 189)
Asymmetric unit:
Ho 0.0000 0.7628 0.0000
Lu 0.0000 0.3885 0.5000
Fe 0.0000 0.0000 0.5000
Te 0.3333 0.6667 0.0000

=====

[4]
Entry from OQMD via LeMat-Bulk: a relaxed structure of PrCu2MoP4 (PBE).

calculated volume = 127.9 Å³/cell
total DFT energy (no corrections) = -47.9 eV for the cell shown

Lattice parameters (Å, degrees): 3.724 3.724 9.225 90.00 90.00 90.00
Space group P4mm (No. 99)
Asymmetric unit:
Pr 0.000 0.000 0.000
Cu 0.000 0.500 0.298
Mo 0.500 0.500 0.564
P 0.000 0.000 0.463
P 0.000 0.500 0.740
P 0.500 0.500 0.134

=====

[5]
Entry from OQMD via LeMat-Bulk: a relaxed structure of NdMgTe2AuSe (PBE).

calculated volume = 644.5 Å³/cell
total DFT energy (no corrections) = -97.7 eV for the cell shown

Lattice parameters (Å, degrees): 4.132 14.195 10.988 90.00 90.00 90.00
Space group Cmcm (No. 63)
Asymmetric unit:
Nd 0.000 0.000 0.000
Mg 0.000 0.254 0.250
Te 0.000 0.340 0.574
Au 0.000 0.479 0.750
Se 0.000 0.106 0.750

=====

[6]
Entry from OQMD via LeMat-Bulk: a relaxed structure of MoS2 (PBE).

calculated volume = 1079.9 Å³/cell
total DFT energy (no corrections) = -157.4 eV for the cell shown

Lattice parameters (Å, degrees): 10.259 10.259 10.259 90.00 90.00 90.00
Space group Fd-3m (No. 227, origin choice 2)
Asymmetric unit:
Mo 0.125 0.125 0.125
S 0.000 0.000 0.000

=====

[7]
Entry from OQMD via LeMat-Bulk: a relaxed structure of Hf2ZrNi2As4Pt2 (PBE).

calculated volume = 190.2 Å³/cell
total DFT energy (no corrections) = -79.0 eV for the cell shown

Lattice parameters (Å, degrees): 6.536 3.888 7.486 90.00 90.22 90.00
Space group Pm (No. 6)
Asymmetric unit:
Hf 0.000 0.000 0.000
Hf 0.444 0.500 0.501
Zr 0.516 0.000 0.129
Ni 0.359 0.500 0.865
Ni 0.600 0.000 0.758
As 0.225 0.000 0.712
As 0.227 0.500 0.167
As 0.729 0.500 0.902
As 0.746 0.000 0.468
Pt 0.139 0.000 0.389
Pt 0.814 0.500 0.254

=====

[8]
Entry from OQMD via LeMat-Bulk: a relaxed structure of AlNiAs (PBE).

calculated volume = 182.3 Å³/cell
total DFT energy (no corrections) = -61.0 eV for the cell shown

Lattice parameters (Å, degrees): 5.670 5.670 5.670 90.00 90.00 90.00
Space group F-43m (No. 216)
Asymmetric unit:
Al 0.000 0.000 0.000
Ni 0.250 0.250 0.250
As 0.000 0.000 0.500

=====

[9]
Entry from OQMD via LeMat-Bulk: a relaxed structure of PrScGa (PBE).

calculated volume = 322.6 Å³/cell
energy above the lowest structure with this stoichiometry = 0 meV per atom

Lattice parameters (Å, degrees): 6.859 6.859 6.859 90.00 90.00 90.00
Space group F-43m (No. 216)
Asymmetric unit:
Pr 0.000 0.000 0.000
Sc 0.250 0.250 0.750
Ga 0.000 0.000 0.500

=====

[10]
Entry from OQMD via LeMat-Bulk: a relaxed structure of KFe2S3 (PBE).

calculated volume = 493.9 Å³/cell
total DFT energy (no corrections) = -136.8 eV for the cell shown

Lattice parameters (Å, degrees): 8.748 10.966 5.149 90.00 90.00 90.00
Space group Cmcm (No. 63)
Asymmetric unit:
K 0.000 0.174 0.250
Fe 0.145 0.500 0.000
S 0.000 0.389 0.750
S 0.219 0.108 0.750

=====

[11]
Entry from OQMD via LeMat-Bulk: a relaxed structure of CsReOs (PBE).

calculated volume = 271.1 Å³/cell
total DFT energy (no corrections) = -69.1 eV for the cell shown

Lattice parameters (Å, degrees): 6.472 6.472 6.472 90.00 90.00 90.00
Space group F-43m (No. 216)
Asymmetric unit:
Cs 0.000 0.000 0.000
Re 0.250 0.250 0.250
Os 0.000 0.000 0.500

=====

[12]
Entry from OQMD via LeMat-Bulk: a relaxed structure of YHoSc2Bi2 (PBE).

calculated volume = 320.8 Å³/cell
total DFT energy (no corrections) = -70.9 eV for the cell shown

Lattice parameters (Å, degrees): 4.401 4.401 16.566 90.00 90.00 90.00
Space group I4mm (No. 107)
Asymmetric unit:
Y 0.000 0.000 0.000
Ho 0.000 0.000 0.353
Sc 0.000 0.500 0.177
Bi 0.000 0.000 0.545
Bi 0.000 0.000 0.808

=====

[13]
Entry from OQMD via LeMat-Bulk: a relaxed structure of CsRbTl4Ir2 (PBE).

calculated volume = 490.6 Å³/cell
total DFT energy (no corrections) = -54.7 eV for the cell shown

Lattice parameters (Å, degrees): 8.138 4.446 13.559 90.00 90.00 90.00
Space group Amm2 (No. 38)
Asymmetric unit:
Cs 0.000 0.000 0.000
Rb 0.500 0.000 0.084
Tl 0.203 0.000 0.707
Tl 0.300 0.000 0.374
Ir 0.000 0.000 0.262
Ir 0.500 0.000 0.819

=====

[14]
Entry from OQMD via LeMat-Bulk: a relaxed structure of TaP (PBE).

calculated volume = 30.0 Å³/cell
total DFT energy (no corrections) = -18.3 eV for the cell shown

Lattice parameters (Å, degrees): 3.106 3.106 3.106 90.00 90.00 90.00
Space group Pm-3m (No. 221)
Asymmetric unit:
Ta 0.000 0.000 0.000
P 0.500 0.500 0.500

=====

[15]
Entry from OQMD via LeMat-Bulk: a relaxed structure of Pa2Be2O5 (PBE).

calculated volume = 137.1 Å³/cell
energy above the lowest structure with this stoichiometry = 962 meV per atom

Lattice parameters (Å, degrees): 4.143 4.143 7.989 90.00 90.00 90.00
Space group P4/mmm (No. 123)
Asymmetric unit:
Pa 0.000 0.000 0.238
Be 0.500 0.500 0.000
Be 0.500 0.500 0.500
O 0.000 0.000 0.500
O 0.000 0.500 0.314

=====

[16]
Entry from OQMD via LeMat-Bulk: a relaxed structure of KScHg2Br6 (PBE).

calculated volume = 1524.2 Å³/cell
total DFT energy (no corrections) = -107.0 eV for the cell shown

Lattice parameters (Å, degrees): 11.509 11.509 11.509 90.00 90.00 90.00
Space group Fm-3m (No. 225)
Asymmetric unit:
K 0.000 0.000 0.000
Sc 0.000 0.000 0.500
Hg 0.250 0.250 0.250
Br 0.000 0.000 0.272

=====

[17]
Entry from OQMD via LeMat-Bulk: a relaxed structure of LiCd2Ge (PBE).

calculated volume = 318.1 Å³/cell
total DFT energy (no corrections) = -34.2 eV for the cell shown

Lattice parameters (Å, degrees): 6.827 6.827 6.827 90.00 90.00 90.00
Space group F-43m (No. 216)
Asymmetric unit:
Li 0.000 0.000 0.000
Cd 0.000 0.000 0.500
Cd 0.250 0.250 0.750
Ge 0.250 0.250 0.250

=====

[18]
Entry from OQMD via LeMat-Bulk: a relaxed structure of Li3La2PrPb3 (PBE).

calculated volume = 243.0 Å³/cell
total DFT energy (no corrections) = -36.2 eV for the cell shown

Lattice parameters (Å, degrees): 4.8870 4.8870 11.7489 90.00 90.00 120.00
Space group P-6m2 (No. 187)
Asymmetric unit:
Li 0.0000 0.0000 0.0000
Li 0.6667 0.3333 0.3142
La 0.3333 0.6667 0.1653
Pr 0.3333 0.6667 0.5000
Pb 0.0000 0.0000 0.3302
Pb 0.6667 0.3333 0.0000

=====

[19]
Entry from OQMD via LeMat-Bulk: a relaxed structure of AuI (PBE).

calculated volume = 520.1 Å³/cell
total DFT energy (no corrections) = -39.2 eV for the cell shown

Lattice parameters (Å, degrees): 6.217 6.241 13.405 90.00 90.00 90.00
Space group Cmm2 (No. 35)
Asymmetric unit:
Au 0.000 0.250 0.000
Au 0.250 0.000 0.498
I 0.000 0.000 0.158
I 0.000 0.000 0.657
I 0.000 0.500 0.340
I 0.000 0.500 0.842

=====

[20]
Entry from OQMD via LeMat-Bulk: a relaxed structure of ZrAuNO (PBE).

calculated volume = 127.8 Å³/cell
energy above the lowest structure with this stoichiometry = 336 meV per atom

Lattice parameters (Å, degrees): 3.820 5.882 5.688 90.00 90.00 90.00
Space group Pmc2_1 (No. 26)
Asymmetric unit:
Zr 0.000 0.198 0.000
Au 0.500 0.224 0.448
N 0.000 0.130 0.364
O 0.500 0.323 0.922

=====

[21]
Entry from OQMD via LeMat-Bulk: a relaxed structure of ZnH6Se4N2 (PBE).

calculated volume = 386.6 Å³/cell
total DFT energy (no corrections) = -113.0 eV for the cell shown

Lattice parameters (Å, degrees): 5.792 11.413 6.399 90.00 113.96 90.00
Space group P2_1 (No. 4)
Asymmetric unit:
Zn 0.181 0.000 0.119
H 0.020 0.659 0.199
H 0.186 0.082 0.735
H 0.189 0.517 0.741
H 0.279 0.571 0.001
H 0.286 0.185 0.932
H 0.290 0.428 0.965
Se 0.035 0.820 0.624
Se 0.293 0.807 0.028
Se 0.385 0.277 0.427
Se 0.466 0.072 0.492
N 0.155 0.119 0.868
N 0.184 0.502 0.898

=====

[22]
Entry from OQMD via LeMat-Bulk: a relaxed structure of U2H2IBr3 (PBE).

calculated volume = 195.1 Å³/cell
total DFT energy (no corrections) = -43.3 eV for the cell shown

Lattice parameters (Å, degrees): 3.8469 3.8469 15.2255 90.00 90.00 120.00
Space group P3m1 (No. 156)
Asymmetric unit:
U 0.0000 0.0000 0.0000
U 0.0000 0.0000 0.4918
H 0.3333 0.6667 0.9977
H 0.6667 0.3333 0.4923
I 0.6667 0.3333 0.8537
Br 0.3333 0.6667 0.3608
Br 0.3333 0.6667 0.6230
Br 0.6667 0.3333 0.1310

=====

[23]
Entry from OQMD via LeMat-Bulk: a relaxed structure of Hf2Zr4Ga3N3 (PBE).

calculated volume = 767.8 Å³/cell
total DFT energy (no corrections) = -407.6 eV for the cell shown

Lattice parameters (Å, degrees): 9.756 5.636 14.337 90.00 103.10 90.00
Space group C2/c (No. 15)
Asymmetric unit:
Hf 0.055 0.084 0.412
Zr 0.114 0.419 0.592
Zr 0.218 0.416 0.908
Ga 0.000 0.402 0.250
Ga 0.158 0.078 0.749
N 0.081 0.244 0.000
N 0.250 0.250 0.500

=====

[24]
Entry from OQMD via LeMat-Bulk: a relaxed structure of LuMgCdAg (PBE).

calculated volume = 337.1 Å³/cell
energy above the lowest structure with this stoichiometry = 106 meV per atom

Lattice parameters (Å, degrees): 6.960 6.960 6.960 90.00 90.00 90.00
Space group F-43m (No. 216)
Asymmetric unit:
Lu 0.000 0.000 0.000
Mg 0.250 0.250 0.250
Cd 0.000 0.000 0.500
Ag 0.250 0.250 0.750